(1)
Density functional theory data (PBE) for a relaxed YRh2 crystal.

Computed properties:
VASP energy ... -7.55 eV per atom
Crystal system ... hexagonal
E_form ... -0.492 eV per atom

a b c (Å): 4.437 4.437 3.338
angles (deg): 90.00 90.00 120.00
Element x y z (fractional)
Y1 0.000 0.000 0.000
Rh1 0.333 0.667 0.500
Rh2 0.667 0.333 0.500

---

(2)
Density functional theory data (PBE) for a relaxed YRh2 crystal.

Computed properties:
VASP energy ... -7.52 eV per atom
Crystal system ... tetragonal
E_form ... -0.466 eV per atom

a b c (Å): 4.103 4.103 14.820
angles (deg): 90.00 90.00 90.00
Element x y z (fractional)
Y1 0.000 0.250 0.375
Y2 0.000 0.750 0.625
Y3 0.500 0.250 0.125
Y4 0.500 0.750 0.875
Rh1 0.000 0.250 0.793
Rh2 0.000 0.250 0.957
Rh3 0.000 0.750 0.043
Rh4 0.000 0.750 0.207
Rh5 0.500 0.250 0.543
Rh6 0.500 0.250 0.707
Rh7 0.500 0.750 0.293
Rh8 0.500 0.750 0.457

---

(3)
Density functional theory data (PBE) for a relaxed Y7Rh6 crystal.

Computed properties:
VASP energy ... -6.70 eV per atom
Crystal system ... trigonal
E_form ... 0.175 eV per atom

a b c (Å): 8.929 8.929 8.929
angles (deg): 44.04 44.04 44.04
Element x y z (fractional)
Y1 0.000 0.000 0.000
Y2 0.088 0.088 0.558
Y3 0.088 0.558 0.088
Y4 0.442 0.912 0.912
Y5 0.558 0.088 0.088
Y6 0.912 0.442 0.912
Y7 0.912 0.912 0.442
Rh1 0.162 0.162 0.162
Rh2 0.338 0.338 0.338
Rh3 0.448 0.448 0.448
Rh4 0.552 0.552 0.552
Rh5 0.662 0.662 0.662
Rh6 0.838 0.838 0.838